[1]
Entry from Alexandria: a relaxed SrTiN2 crystal (PBE-GGA).

The crystal system is cubic. The value obtained for the raw formation energy is 0.6 eV per formula unit.

Unit cell a=4.148 b=4.148 c=4.148 alpha=60.00 beta=60.00 gamma=60.00
Fractional coordinates of all 4 atoms:
Sr 0.000 0.000 0.000
Ti 0.500 0.500 0.500
N 0.250 0.250 0.250
N 0.750 0.750 0.750

***

[2]
Entry from Alexandria: a relaxed VCo2Ir2 crystal (PBE-GGA).

For the energy above the most stable polymorph in this dataset, the calculation gives 0.0000 eV/atom. The crystal system is tetragonal.

Unit cell a=6.995 b=6.995 c=2.685 alpha=90.00 beta=90.00 gamma=90.00
Fractional coordinates of all 10 atoms:
V 0.000 0.000 0.000
V 0.500 0.500 0.000
Co 0.120 0.380 0.000
Co 0.380 0.880 0.000
Co 0.620 0.120 0.000
Co 0.880 0.620 0.000
Ir 0.177 0.677 0.500
Ir 0.323 0.177 0.500
Ir 0.677 0.823 0.500
Ir 0.823 0.323 0.500

***

[3]
Entry from Alexandria: a relaxed KRbBaSe2 crystal (PBE-GGA).

For the energy above the most stable polymorph in this dataset, the calculation gives 0.0000 eV/atom. The crystal system is tetragonal. The value obtained for the raw formation energy is -2.8 eV per formula unit.

Unit cell a=6.231 b=6.231 c=5.360 alpha=90.00 beta=90.00 gamma=90.00
Fractional coordinates of all 5 atoms:
K 0.000 0.000 0.000
Rb 0.000 0.000 0.500
Ba 0.500 0.500 0.000
Se 0.000 0.500 0.500
Se 0.500 0.000 0.500

***

[4]
Entry from Alexandria: a relaxed CaCuGe2O6 crystal (PBE-GGA).

For the energy above the most stable polymorph in this dataset, the calculation gives 0.0142 eV/atom. The crystal system is monoclinic. The value obtained for the raw formation energy is -17.2 eV per formula unit.

Unit cell a=7.174 b=7.174 c=5.759 alpha=105.59 beta=105.59 gamma=84.23
Fractional coordinates of all 20 atoms:
Ca 0.107 0.893 0.750
Ca 0.893 0.107 0.250
Cu 0.244 0.756 0.250
Cu 0.756 0.244 0.750
Ge 0.215 0.386 0.803
Ge 0.386 0.215 0.303
Ge 0.614 0.785 0.697
Ge 0.785 0.614 0.197
O 0.032 0.214 0.672
O 0.140 0.627 0.912
O 0.214 0.032 0.172
O 0.321 0.393 0.556
O 0.373 0.860 0.588
O 0.393 0.321 0.056
O 0.607 0.679 0.944
O 0.627 0.140 0.412
O 0.679 0.607 0.444
O 0.786 0.968 0.828
O 0.860 0.373 0.088
O 0.968 0.786 0.328

***

[5]
Entry from Alexandria: a relaxed CrMo2Au crystal (PBE-GGA).

For the energy above the most stable polymorph in this dataset, the calculation gives 0.1291 eV/atom. The crystal system is tetragonal.

Unit cell a=2.728 b=2.728 c=8.484 alpha=90.00 beta=90.00 gamma=90.00
Fractional coordinates of all 4 atoms:
Cr 0.000 0.000 0.000
Mo 0.000 0.000 0.488
Mo 0.500 0.500 0.225
Au 0.500 0.500 0.750

***

[6]
Entry from Alexandria: a relaxed La2NiHgPb crystal (PBE-GGA).

For the energy above the most stable polymorph in this dataset, the calculation gives 0.0000 eV/atom. The crystal system is tetragonal.

Unit cell a=5.376 b=5.376 c=4.970 alpha=90.00 beta=90.00 gamma=90.00
Fractional coordinates of all 5 atoms:
La 0.000 0.500 0.000
La 0.500 0.000 0.000
Ni 0.000 0.000 0.000
Hg 0.000 0.000 0.500
Pb 0.500 0.500 0.500